Material: TbSm2Tm3Sb6
Method: DFT, PBE
State: relaxed

Calculated values
electronic total energy	-5.4667	eV per atom
calculated volume	359.6	Å³ per cell
raw formation energy	-1115.2	meV per atom

abc: 9.8188 9.8188 8.7826
angles: 102.82 102.82 25.86
Sites, in units of the cell vectors:
Tb1 0.0000 0.0000 0.0000
Sm1 0.3337 0.3337 0.6673
Sm2 0.6663 0.6663 0.3327
Tm1 0.0000 0.0000 0.5000
Tm2 0.3328 0.3328 0.1666
Tm3 0.6672 0.6672 0.8334
Sb1 0.1647 0.1647 0.5882
Sb2 0.1674 0.1674 0.0773
Sb3 0.4976 0.4976 0.2518
Sb4 0.5024 0.5024 0.7482
Sb5 0.8326 0.8326 0.9227
Sb6 0.8353 0.8353 0.4118